(1)
AlTeSeBr2 (PBE, relaxed); distance to the lowest polymorph of the same formula = 0.000 eV/atom; E = -2.835 eV per atom; ρ = 4.96 g cm⁻³; formation energy from raw total energies = -92 meV/atom; crystal system = tetragonal
1.0
4.9127 0.0000 0.0000
0.0000 4.9127 0.0000
0.0000 0.0000 5.4613
Al Br Te Se
1 2 1 1
direct
0.0000 0.0000 0.0000
0.5000 0.0000 0.0000
0.0000 0.5000 0.0000
0.5000 0.5000 0.5000
0.0000 0.0000 0.5000

=====

(2)
TiAlSeBr2 (PBE, relaxed); distance to the lowest polymorph of the same formula = 0.000 eV/atom; E = -4.191 eV per atom; ρ = 3.80 g cm⁻³; formation energy from raw total energies = -498 meV/atom; crystal system = tetragonal
1.0
5.2488 0.0000 0.0000
0.0000 5.2488 0.0000
0.0000 0.0000 4.9770
Se Br Ti Al
1 2 1 1
direct
0.0000 0.0000 0.5000
0.0000 0.5000 0.0000
0.5000 0.0000 0.0000
0.0000 0.0000 0.0000
0.5000 0.5000 0.5000

=====

(3)
TiAlSeBr2 (PBE, relaxed); distance to the lowest polymorph of the same formula = 0.441 eV/atom; E = -3.750 eV per atom; ρ = 4.05 g cm⁻³; formation energy from raw total energies = -56 meV/atom; crystal system = tetragonal
1.0
5.0414 0.0000 0.0000
0.0000 5.0414 0.0000
0.0000 0.0000 5.0583
Al Br Ti Se
1 2 1 1
direct
0.0000 0.0000 0.0000
0.5000 0.0000 0.0000
0.0000 0.5000 0.0000
0.5000 0.5000 0.5000
0.0000 0.0000 0.5000

=====

(4)
AlTlSeBr2 (PBE, relaxed); distance to the lowest polymorph of the same formula = 0.000 eV/atom; E = -3.226 eV per atom; ρ = 5.68 g cm⁻³; formation energy from raw total energies = -638 meV/atom; crystal system = tetragonal
1.0
5.2882 0.0000 0.0000
0.0000 5.2882 0.0000
0.0000 0.0000 4.9151
Se Br Tl Al
1 2 1 1
direct
0.0000 0.0000 0.5000
0.0000 0.5000 0.0000
0.5000 0.0000 0.0000
0.5000 0.5000 0.5000
0.0000 0.0000 0.0000

=====

(5)
AlTlSeBr2 (PBE, relaxed); distance to the lowest polymorph of the same formula = 0.693 eV/atom; E = -2.533 eV per atom; ρ = 4.46 g cm⁻³; formation energy from raw total energies = 55 meV/atom; crystal system = tetragonal
1.0
-4.5994 0.0523 -3.3681
3.3624 -0.2703 -4.5958
-0.1908 -5.3818 0.1769
Tl Al Br Se
1 1 2 1
direct
0.0000 0.0000 0.0000
0.5000 0.5000 0.5000
0.0000 0.5000 0.0000
0.5000 0.0000 0.0000
0.0000 0.0000 0.5000

=====

(6)
AlVSeBr2 (PBE, relaxed); distance to the lowest polymorph of the same formula = 0.000 eV/atom; E = -4.188 eV per atom; ρ = 3.93 g cm⁻³; formation energy from raw total energies = -250 meV/atom; crystal system = tetragonal
1.0
5.2760 0.0000 0.0000
0.0000 5.2760 0.0000
0.0000 0.0000 4.8112
Br Al V Se
2 1 1 1
direct
0.0000 0.5000 0.0000
0.5000 0.0000 0.0000
0.5000 0.5000 0.5000
0.0000 0.0000 0.0000
0.0000 0.0000 0.5000

=====

(7)
AlVSeBr2 (PBE, relaxed); distance to the lowest polymorph of the same formula = 0.338 eV/atom; E = -3.851 eV per atom; ρ = 4.11 g cm⁻³; formation energy from raw total energies = 88 meV/atom; crystal system = tetragonal
1.0
5.0056 0.0000 0.0000
0.0000 5.0056 0.0000
0.0000 0.0000 5.1082
Se Br V Al
1 2 1 1
direct
0.0000 0.0000 0.5000
0.5000 0.0000 0.0000
0.0000 0.5000 0.0000
0.5000 0.5000 0.5000
0.0000 0.0000 0.0000

=====

(8)
AlWSeBr2 (PBE, relaxed); distance to the lowest polymorph of the same formula = 0.497 eV/atom; E = -3.885 eV per atom; ρ = 5.94 g cm⁻³; formation energy from raw total energies = 820 meV/atom; crystal system = tetragonal
1.0
-1.0008 -3.2755 3.4919
3.8138 1.6112 2.6044
-3.1075 3.4953 2.3881
Se Br Al W
1 2 1 1
direct
0.0000 0.0000 0.5000
0.5000 0.0000 0.0000
0.0000 0.5000 0.0000
0.0000 0.0000 0.0000
0.5000 0.5000 0.5000

=====

(9)
AlWSeBr2 (PBE, relaxed); distance to the lowest polymorph of the same formula = 0.000 eV/atom; E = -4.382 eV per atom; ρ = 5.43 g cm⁻³; formation energy from raw total energies = 324 meV/atom; crystal system = tetragonal
1.0
-0.7358 4.1656 3.2222
-5.2612 -0.7256 -0.2634
0.2133 -2.9479 3.8597
Br Al Se W
2 1 1 1
direct
0.5000 0.0000 0.0000
0.0000 0.5000 0.0000
0.5000 0.5000 0.5000
0.0000 0.0000 0.5000
0.0000 0.0000 0.0000

=====

(10)
YAlSe2Br (PBE, relaxed); distance to the lowest polymorph of the same formula = 0.000 eV/atom; E = -4.487 eV per atom; ρ = 4.80 g cm⁻³; formation energy from raw total energies = -718 meV/atom; crystal system = tetragonal
1.0
5.0105 0.0000 0.0000
0.0000 5.0105 0.0000
0.0000 0.0000 4.8739
Se Al Br Y
2 1 1 1
direct
0.0000 0.5000 0.0000
0.5000 0.0000 0.0000
0.0000 0.0000 0.0000
0.0000 0.0000 0.5000
0.5000 0.5000 0.5000

=====

(11)
YAlSeBr2 (PBE, relaxed); distance to the lowest polymorph of the same formula = 0.428 eV/atom; E = -3.927 eV per atom; ρ = 4.53 g cm⁻³; formation energy from raw total energies = -520 meV/atom; crystal system = tetragonal
1.0
-4.1904 -1.8521 -2.1128
2.7022 -3.6958 -2.1196
-0.7795 -2.9293 4.1138
Y Br Se Al
1 2 1 1
direct
0.5000 0.5000 0.5000
0.5000 0.0000 0.0000
0.0000 0.5000 0.0000
0.0000 0.0000 0.5000
0.0000 0.0000 0.0000

=====

(12)
YAlSe2Br (PBE, relaxed); distance to the lowest polymorph of the same formula = 0.072 eV/atom; E = -4.415 eV per atom; ρ = 3.46 g cm⁻³; formation energy from raw total energies = -645 meV/atom; crystal system = tetragonal
1.0
-2.8296 -3.0782 -3.5569
4.6870 -1.4939 -2.4359
0.4082 -4.4033 3.4860
Al Se Br Y
1 2 1 1
direct
0.5000 0.5000 0.5000
0.5000 0.0000 0.0000
0.0000 0.5000 0.0000
0.0000 0.0000 0.5000
0.0000 0.0000 0.0000

=====

(13)
YAlSeBr2 (PBE, relaxed); distance to the lowest polymorph of the same formula = 0.000 eV/atom; E = -4.356 eV per atom; ρ = 3.42 g cm⁻³; formation energy from raw total energies = -948 meV/atom; crystal system = tetragonal
1.0
5.5920 0.0000 0.0000
0.0000 5.5920 0.0000
0.0000 0.0000 5.5090
Y Br Se Al
1 2 1 1
direct
0.0000 0.0000 0.0000
0.0000 0.5000 0.0000
0.5000 0.0000 0.0000
0.0000 0.0000 0.5000
0.5000 0.5000 0.5000

=====

(14)
ZrAlSeBr2 (PBE, relaxed); distance to the lowest polymorph of the same formula = 0.000 eV/atom; E = -4.378 eV per atom; ρ = 3.91 g cm⁻³; formation energy from raw total energies = -553 meV/atom; crystal system = tetragonal
1.0
5.3727 0.0000 0.0000
0.0000 5.3727 0.0000
0.0000 0.0000 5.2516
Br Zr Al Se
2 1 1 1
direct
0.0000 0.5000 0.0000
0.5000 0.0000 0.0000
0.0000 0.0000 0.0000
0.5000 0.5000 0.5000
0.0000 0.0000 0.5000

=====

(15)
ZrAlSe2Br (PBE, relaxed); distance to the lowest polymorph of the same formula = 0.000 eV/atom; E = -4.754 eV per atom; ρ = 3.99 g cm⁻³; formation energy from raw total energies = -568 meV/atom; crystal system = tetragonal
1.0
-0.0882 0.8780 -5.1714
-4.9988 -1.5816 -0.1833
-1.6328 5.0580 0.8866
Se Zr Br Al
2 1 1 1
direct
0.0000 0.5000 0.0000
0.5000 0.0000 0.0000
0.0000 0.0000 0.0000
0.0000 0.0000 0.5000
0.5000 0.5000 0.5000

=====

(16)
ZrAlSe2Br (PBE, relaxed); distance to the lowest polymorph of the same formula = 0.432 eV/atom; E = -4.322 eV per atom; ρ = 5.02 g cm⁻³; formation energy from raw total energies = -135 meV/atom; crystal system = tetragonal
1.0
4.9375 0.0000 0.0000
0.0000 4.9375 0.0000
0.0000 0.0000 4.8312
Se Br Zr Al
2 1 1 1
direct
0.5000 0.0000 0.0000
0.0000 0.5000 0.0000
0.0000 0.0000 0.5000
0.5000 0.5000 0.5000
0.0000 0.0000 0.0000

=====

(17)
ZrAlSeBr2 (PBE, relaxed); distance to the lowest polymorph of the same formula = 0.534 eV/atom; E = -3.844 eV per atom; ρ = 4.71 g cm⁻³; formation energy from raw total energies = -20 meV/atom; crystal system = tetragonal
1.0
-0.1363 -3.6955 3.3372
3.1436 -2.6528 -2.8092
3.9325 2.0665 2.4491
Br Al Zr Se
2 1 1 1
direct
0.5000 0.0000 0.0000
0.0000 0.5000 0.0000
0.0000 0.0000 0.0000
0.5000 0.5000 0.5000
0.0000 0.0000 0.5000

=====

(18)
AlSi2Br (PBE, relaxed); distance to the lowest polymorph of the same formula = 0.412 eV/atom; E = -3.594 eV per atom; ρ = 3.62 g cm⁻³; formation energy from raw total energies = 471 meV/atom; crystal system = tetragonal
1.0
3.2509 0.0000 0.0000
0.0000 3.2509 0.0000
0.0000 0.0000 7.0858
Si Al Br
2 1 1
direct
0.0000 0.0000 0.0466
0.0000 0.0000 0.4534
0.5000 0.5000 0.2500
0.5000 0.5000 0.7500

=====

(19)
AlSi2Br (PBE, relaxed); distance to the lowest polymorph of the same formula = 0.000 eV/atom; E = -4.006 eV per atom; ρ = 2.93 g cm⁻³; formation energy from raw total energies = 59 meV/atom; crystal system = trigonal
1.0
8.0605 0.0806 0.0484
7.1727 3.6783 0.0484
7.1727 1.7699 3.2249
Al Si Br
1 2 1
direct
0.5149 0.5149 0.5149
0.9609 0.9609 0.9609
0.2497 0.2497 0.2497
0.7745 0.7745 0.7745

=====

(20)
AlSi2Br (PBE, relaxed); distance to the lowest polymorph of the same formula = 0.582 eV/atom; E = -3.424 eV per atom; ρ = 2.48 g cm⁻³; formation energy from raw total energies = 642 meV/atom; crystal system = tetragonal
1.0
-2.6740 4.4229 2.8290
-4.9758 -3.1480 0.2184
-2.0380 -1.8048 7.0310
Si Br Al
4 2 2
direct
0.1747 0.6250 0.2500
0.8750 0.8253 0.7500
0.3750 0.4247 0.7500
0.5753 0.1250 0.2500
0.0000 0.0000 0.0000
0.7500 0.2500 0.5000
0.2500 0.7500 0.5000
0.5000 0.5000 0.0000